Material: BeCrGe2Os
Method: DFT, PBE
State: optimized geometry

Summary:
* energy of formation from the pure elements: 1.227 eV per atom

```
data_BeCrGe2Os
_symmetry_space_group_name_H-M 'P 4/m m m'
_symmetry_Int_Tables_number 123
_symmetry_space_group_name_Hall '-P 4 2'
_cell_length_a 4.495
_cell_length_b 4.495
_cell_length_c 4.566
_cell_angle_alpha 90.00
_cell_angle_beta 90.00
_cell_angle_gamma 90.00
loop_
_atom_site_label
_atom_site_type_symbol
_atom_site_fract_x
_atom_site_fract_y
_atom_site_fract_z
Be1 Be 0.000 0.000 0.000
Cr1 Cr 0.500 0.500 0.500
Ge1 Ge 0.000 0.500 0.500
Os1 Os 0.500 0.500 0.000
```

=====

Material: BeCrGe2Rh
Method: DFT, PBE
State: optimized geometry

Summary:
* excess energy over the best structure of this formula in the dataset: 0.0000 eV per atom
* energy of formation from the pure elements: 0.769 eV per atom

```
data_BeCrGe2Rh
_symmetry_space_group_name_H-M 'P 4/m m m'
_symmetry_Int_Tables_number 123
_symmetry_space_group_name_Hall '-P 4 2'
_cell_length_a 4.508
_cell_length_b 4.508
_cell_length_c 4.116
_cell_angle_alpha 90.00
_cell_angle_beta 90.00
_cell_angle_gamma 90.00
loop_
_atom_site_label
_atom_site_type_symbol
_atom_site_fract_x
_atom_site_fract_y
_atom_site_fract_z
Be1 Be 0.000 0.000 0.000
Cr1 Cr 0.000 0.000 0.500
Ge1 Ge 0.000 0.500 0.500
Rh1 Rh 0.500 0.500 0.000
```

=====

Material: Be2CrGeRh
Method: DFT, PBE
State: optimized geometry

Summary:
* energy of formation from the pure elements: 0.767 eV per atom

```
data_Be2CrGeRh
_symmetry_space_group_name_H-M 'P 4/m m m'
_symmetry_Int_Tables_number 123
_symmetry_space_group_name_Hall '-P 4 2'
_cell_length_a 4.072
_cell_length_b 4.072
_cell_length_c 4.610
_cell_angle_alpha 90.00
_cell_angle_beta 90.00
_cell_angle_gamma 90.00
loop_
_atom_site_label
_atom_site_type_symbol
_atom_site_fract_x
_atom_site_fract_y
_atom_site_fract_z
Be1 Be 0.000 0.500 0.000
Cr1 Cr 0.000 0.000 0.500
Ge1 Ge 0.500 0.500 0.500
Rh1 Rh 0.500 0.500 0.000
```

=====

Material: BeCrGe2Rh
Method: DFT, PBE
State: optimized geometry

Summary:
* excess energy over the best structure of this formula in the dataset: 0.1814 eV per atom
* energy of formation from the pure elements: 0.951 eV per atom

```
data_BeCrGe2Rh
_symmetry_space_group_name_H-M 'P 4/m m m'
_symmetry_Int_Tables_number 123
_symmetry_space_group_name_Hall '-P 4 2'
_cell_length_a 4.544
_cell_length_b 4.544
_cell_length_c 4.538
_cell_angle_alpha 90.00
_cell_angle_beta 90.00
_cell_angle_gamma 90.00
loop_
_atom_site_label
_atom_site_type_symbol
_atom_site_fract_x
_atom_site_fract_y
_atom_site_fract_z
Be1 Be 0.000 0.000 0.000
Cr1 Cr 0.500 0.500 0.500
Ge1 Ge 0.000 0.500 0.500
Rh1 Rh 0.500 0.500 0.000
```

=====

Material: BeCrSiGe2
Method: DFT, PBE
State: optimized geometry

Summary:
* uncorrected formation energy: 0.7036 eV per atom

```
data_BeCrSiGe2
_symmetry_space_group_name_H-M 'P 4/m m m'
_symmetry_Int_Tables_number 123
_symmetry_space_group_name_Hall '-P 4 2'
_cell_length_a 4.623
_cell_length_b 4.623
_cell_length_c 4.487
_cell_angle_alpha 90.00
_cell_angle_beta 90.00
_cell_angle_gamma 90.00
loop_
_atom_site_label
_atom_site_type_symbol
_atom_site_fract_x
_atom_site_fract_y
_atom_site_fract_z
Be1 Be 0.000 0.000 0.000
Cr1 Cr 0.500 0.500 0.500
Si1 Si 0.500 0.500 0.000
Ge1 Ge 0.000 0.500 0.500
```

=====

Material: BeCr2H
Method: DFT, PBE
State: optimized geometry

Summary:
* excess energy over the best structure of this formula in the dataset: 0.2622 eV per atom

```
data_BeCr2H
_symmetry_space_group_name_H-M 'R -3 m'
_symmetry_Int_Tables_number 166
_symmetry_space_group_name_Hall '-R 3 2"'
_cell_length_a 2.4406
_cell_length_b 2.4406
_cell_length_c 22.0603
_cell_angle_alpha 90.00
_cell_angle_beta 90.00
_cell_angle_gamma 120.00
loop_
_atom_site_label
_atom_site_type_symbol
_atom_site_fract_x
_atom_site_fract_y
_atom_site_fract_z
Be1 Be 0.0000 0.0000 0.0000
Cr1 Cr 0.0000 0.0000 0.4249
H1 H 0.0000 0.0000 0.5000
```

=====

Material: BeCrH3
Method: DFT, PBE
State: optimized geometry

Summary:
* excess energy over the best structure of this formula in the dataset: 0.0263 eV per atom

```
data_BeCrH3
_symmetry_space_group_name_H-M 'P m -3 m'
_symmetry_Int_Tables_number 221
_symmetry_space_group_name_Hall '-P 4 2 3'
_cell_length_a 2.982
_cell_length_b 2.982
_cell_length_c 2.982
_cell_angle_alpha 90.00
_cell_angle_beta 90.00
_cell_angle_gamma 90.00
loop_
_atom_site_label
_atom_site_type_symbol
_atom_site_fract_x
_atom_site_fract_y
_atom_site_fract_z
Be1 Be 0.000 0.000 0.000
Cr1 Cr 0.500 0.500 0.500
H1 H 0.000 0.000 0.500
```

=====

Material: BeCr2H
Method: DFT, PBE
State: optimized geometry

Summary:
* excess energy over the best structure of this formula in the dataset: 0.2926 eV per atom

```
data_BeCr2H
_symmetry_space_group_name_H-M 'F m -3 m'
_symmetry_Int_Tables_number 225
_symmetry_space_group_name_Hall '-F 4 2 3'
_cell_length_a 5.187
_cell_length_b 5.187
_cell_length_c 5.187
_cell_angle_alpha 90.00
_cell_angle_beta 90.00
_cell_angle_gamma 90.00
loop_
_atom_site_label
_atom_site_type_symbol
_atom_site_fract_x
_atom_site_fract_y
_atom_site_fract_z
Be1 Be 0.000 0.000 0.000
Cr1 Cr 0.250 0.250 0.250
H1 H 0.000 0.000 0.500
```

=====

Number 1: total magnetization 0.0 μB/cell, E_tot -27.681 eV for the cell shown. Number 2: total magnetization 1.9 μB/cell, E_tot -26.089 eV for the cell shown. Number 3: total magnetization 0.2 μB/cell, E_tot -25.208 eV for the cell shown. Number 4: total magnetization 0.0 μB/cell, E_tot -25.182 eV for the cell shown. Number 5: total magnetization 0.0 μB/cell, E_tot -24.490 eV for the cell shown. Number 6: total magnetization 0.0 μB/cell, E_tot -72.291 eV for the cell shown. Number 7: total magnetization 0.0 μB/cell, E_tot -21.321 eV for the cell shown. Number 8: total magnetization 0.0 μB/cell, E_tot -95.900 eV for the cell shown.